# 1
Computed, not measured: a relaxed structure of NaAg3O2 at the PBE level of DFT.

The calculation puts the offset from the most stable computed form at 0.0744 eV per atom. Its crystal system is monoclinic. The energy relative to the elements, uncorrected comes out at -0.396 eV per atom.

Cell lengths 3.296, 7.882, 7.551 Å; angles 81.43, 102.60, 90.00 degrees
Element x y z (fractional)
Na (0.345, 0.939, 0.690)
Na (0.655, 0.061, 0.310)
Ag (0.262, 0.353, 0.524)
Ag (0.058, 0.767, 0.116)
Ag (0.405, 0.551, 0.809)
Ag (0.738, 0.647, 0.476)
Ag (0.595, 0.449, 0.191)
Ag (0.942, 0.233, 0.884)
O (0.192, 0.837, 0.384)
O (0.808, 0.163, 0.616)
O (0.919, 0.748, 0.838)
O (0.081, 0.252, 0.162)

# 2
Computed, not measured: a relaxed structure of SrV3Zn at the PBE level of DFT.

The calculation puts the offset from the most stable computed form at 0.0000 eV per atom. Its crystal system is cubic.

Cell lengths 4.932, 4.932, 4.932 Å; angles 90.00, 90.00, 90.00 degrees
Element x y z (fractional)
Sr (0.500, 0.500, 0.500)
Zn (0.000, 0.000, 0.000)
V (0.000, 0.500, 0.000)
V (0.000, 0.000, 0.500)
V (0.500, 0.000, 0.000)

# 3
Computed, not measured: a relaxed structure of Th3FeSb at the PBE level of DFT.

The calculation puts the offset from the most stable computed form at 0.0000 eV per atom. Its crystal system is orthorhombic. The energy relative to the elements, uncorrected comes out at -0.452 eV per atom.

Cell lengths 4.390, 8.556, 14.712 Å; angles 90.00, 90.00, 90.00 degrees
Element x y z (fractional)
Th (0.250, 0.201, 0.213)
Th (0.750, 0.299, 0.713)
Th (0.750, 0.799, 0.787)
Th (0.250, 0.701, 0.287)
Th (0.250, 0.346, 0.495)
Th (0.750, 0.154, 0.995)
Th (0.750, 0.654, 0.505)
Th (0.250, 0.846, 0.005)
Th (0.250, 0.469, 0.898)
Th (0.750, 0.031, 0.398)
Th (0.750, 0.531, 0.102)
Th (0.250, 0.969, 0.602)
Fe (0.250, 0.324, 0.062)
Fe (0.750, 0.176, 0.562)
Fe (0.750, 0.676, 0.938)
Fe (0.250, 0.824, 0.438)
Sb (0.250, 0.084, 0.823)
Sb (0.750, 0.416, 0.323)
Sb (0.750, 0.916, 0.177)
Sb (0.250, 0.584, 0.677)

# 4
Computed, not measured: a relaxed structure of LaIn2Ag at the PBE level of DFT.

Its crystal system is tetragonal. The total energy comes out at -3.638 eV/atom.

Cell lengths 4.783, 4.677, 4.677 Å; angles 90.00, 90.00, 90.00 degrees
Element x y z (fractional)
In (0.000, 0.000, 0.000)
In (0.000, 0.500, 0.500)
Ag (0.500, 0.000, 0.500)
La (0.500, 0.500, 0.000)

no.,volume (Å³/f.u.)
1,95
2,120
3,138
4,105